1.
A plane-wave DFT calculation with PBE was carried out for a relaxed SiAsRu2 crystal.

## Properties
Energy relative to the elements, uncorrected ... 4.9 kJ/mol of atoms
Uncorrected energy ... -7.11 eV per atom
Fermi-level density of states ... 4.28 states/eV/cell
V ... 14.3 Å³/atom
Space-group type ... I-4m2

POSCAR file:
```
SiAsRu2
1.0
-0.834 -3.915 -3.303
1.897 -4.760 0.822
-2.617 3.723 2.495
As Ru Si
1 2 1
direct
0.750 0.250 0.500
0.000 0.000 0.000
0.250 0.750 0.500
0.500 0.500 0.000
```

2.
A plane-wave DFT calculation with PBE was carried out for a relaxed SiAsRu2 crystal.

## Properties
Energy relative to the elements, uncorrected ... 29.8 kJ/mol of atoms
Uncorrected energy ... -6.85 eV per atom
Fermi-level density of states ... 4.76 states/eV/cell
V ... 14.6 Å³/atom
Space-group type ... F-43m

POSCAR file:
```
SiAsRu2
1.0
-0.378 -4.175 1.199
2.724 -2.990 -1.627
3.026 -1.815 2.561
As Ru Si
1 2 1
direct
0.500 0.500 0.500
0.000 0.000 0.000
0.250 0.250 0.250
0.750 0.750 0.750
```

3.
A plane-wave DFT calculation with PBE was carried out for a relaxed Si2AsRu crystal.

## Properties
Energy relative to the elements, uncorrected ... -4.7 kJ/mol of atoms
Uncorrected energy ... -6.24 eV per atom
Fermi-level density of states ... 2.67 states/eV/cell
V ... 16.9 Å³/atom
Space-group type ... Cm

POSCAR file:
```
Si2AsRu
1.0
-1.941 -0.533 -4.015
-1.088 -3.134 -3.028
-5.515 -1.464 0.908
As Ru Si
1 1 2
direct
0.418 0.418 0.493
0.791 0.791 0.880
0.070 0.070 0.881
0.222 0.222 0.246
```

4.
A plane-wave DFT calculation with PBE was carried out for a relaxed Si2AsRu crystal.

## Properties
Energy relative to the elements, uncorrected ... 9.8 kJ/mol of atoms
Uncorrected energy ... -6.09 eV per atom
Fermi-level density of states ... 1.72 states/eV/cell
V ... 15.3 Å³/atom
Space-group type ... C2/m

POSCAR file:
```
Si2AsRu
1.0
-0.280 1.949 -3.905
-3.054 1.168 -2.905
-0.766 4.673 1.527
As Ru Si
1 1 2
direct
0.250 0.250 0.250
0.750 0.750 0.750
0.017 0.017 0.953
0.483 0.483 0.547
```

5.
A plane-wave DFT calculation with PBE was carried out for a relaxed Si2AsRu crystal.

## Properties
Energy relative to the elements, uncorrected ... 26.7 kJ/mol of atoms
Uncorrected energy ... -5.92 eV per atom
Fermi-level density of states ... 2.41 states/eV/cell
V ... 14.6 Å³/atom
Space-group type ... I4/mmm

POSCAR file:
```
Si2AsRu
1.0
-0.903 3.826 -2.357
-3.184 -1.366 -3.001
-0.006 -0.562 4.549
As Ru Si
1 1 2
direct
0.250 0.750 0.500
0.750 0.250 0.500
0.000 0.000 0.000
0.500 0.500 0.000
```

6.
A plane-wave DFT calculation with PBE was carried out for a relaxed Si2AsRu crystal.

## Properties
Energy relative to the elements, uncorrected ... 22.0 kJ/mol of atoms
Uncorrected energy ... -5.97 eV per atom
Fermi-level density of states ... 1.85 states/eV/cell
V ... 15.0 Å³/atom
Space-group type ... I-4m2

POSCAR file:
```
Si2AsRu
1.0
4.274 0.024 0.000
-1.233 4.093 0.000
-1.521 -2.058 3.424
As Ru Si
1 1 2
direct
0.500 0.500 0.000
0.750 0.250 0.500
0.000 0.000 0.000
0.250 0.750 0.500
```

Q: Which of these has the highest V?
A: number 3